# 1
{"formula": "YHf2In", "functional": "GGA-PBE", "state": "optimized geometry", "spacegroup": "P4/mmm, No. 123", "lattice_angstrom": [[-3.182, 2.855, 1.487], [-0.784, -2.716, 3.536], [3.166, 2.260, 2.438]], "species": ["Hf", "Hf", "In", "Y"], "fractional_positions": [[0.500, 0.000, 0.500], [0.000, 0.500, 0.500], [0.000, 0.000, 0.000], [0.500, 0.500, 0.000]]}

# 2
{"formula": "DyHoAg2As4", "functional": "GGA-PBE", "state": "optimized geometry", "spacegroup": "P4mm, No. 99", "lattice_angstrom": [[-1.089, -2.998, 2.395], [2.717, 1.155, 2.681], [-6.981, 6.092, 4.449]], "species": ["Ag", "Ag", "As", "As", "As", "As", "Dy", "Ho"], "fractional_positions": [[0.500, 0.000, 0.000], [0.000, 0.500, 0.000], [0.500, 0.500, 0.190], [0.500, 0.000, 0.501], [0.000, 0.500, 0.501], [0.000, 0.000, 0.809], [0.000, 0.000, 0.275], [0.500, 0.500, 0.725]]}

# 3
{"formula": "Hf2ZnRe", "functional": "GGA-PBE", "state": "optimized geometry", "spacegroup": "P4/mmm, No. 123", "e_form_ev_per_atom": -0.34, "lattice_angstrom": [[3.322, 0.000, 0.000], [0.000, 3.322, 0.000], [0.000, 0.000, 6.498]], "species": ["Hf", "Hf", "Re", "Zn"], "fractional_positions": [[0.500, 0.500, 0.240], [0.500, 0.500, 0.760], [0.000, 0.000, 0.000], [0.000, 0.000, 0.500]]}

E_tot values (in eV for the cell shown) by entry order: -29.418; -39.408; -34.962.
Magnetic moment values (in Bohr magnetons per cell) by entry order: 0.000; 0.005; 0.001.